1.
# TiTl2CoP

A geometry-optimized TiTl2CoP structure (PBE-GGA, Alexandria). Values from VASP.

Quantum ESPRESSO input file:
```
&SYSTEM
  ibrav = 0, nat = 5, ntyp = 4
/
ATOMIC_SPECIES
Ti 47.87 Ti.upf
Co 58.93 Co.upf
Tl 204.38 Tl.upf
P 30.97 P.upf
CELL_PARAMETERS angstrom
5.2359 0.0000 0.0000
0.0000 4.5898 0.0000
0.0000 0.0000 5.2359
ATOMIC_POSITIONS crystal
Ti 0.0000 0.5000 0.0000
Co 0.5000 0.5000 0.5000
Tl 0.5000 0.0000 0.0000
Tl 0.0000 0.0000 0.5000
P 0.0000 0.0000 0.0000
```

Computed properties:
As for the symmetry: P4/mmm (123). The electronic total energy comes out at -4.1246 eV per atom. For the energy of formation from the pure elements, the calculation gives 0.904 eV/atom.

2.
# LiCa2C2

A geometry-optimized LiCa2C2 structure (PBE-GGA, Alexandria). Values from VASP.

Quantum ESPRESSO input file:
```
&SYSTEM
  ibrav = 0, nat = 5, ntyp = 3
/
ATOMIC_SPECIES
Ca 40.08 Ca.upf
C 12.01 C.upf
Li 6.94 Li.upf
CELL_PARAMETERS angstrom
3.1216 0.0000 1.3297
-0.0194 5.6670 4.3744
-1.0890 1.6281 6.8854
ATOMIC_POSITIONS crystal
Ca 0.3559 0.1440 0.6441
C 0.0000 0.1345 0.3655
C 0.0000 0.8655 0.6345
Li 0.5000 0.5000 0.0000
Ca 0.6441 0.8560 0.3559
```

Computed properties:
As for the symmetry: Immm (71). The electronic total energy comes out at -4.6782 eV per atom. For the energy of formation from the pure elements, the calculation gives 0.195 eV/atom.

3.
# SrSn5Se6

A geometry-optimized SrSn5Se6 structure (PBE-GGA, Alexandria). Values from VASP.

Quantum ESPRESSO input file:
```
&SYSTEM
  ibrav = 0, nat = 12, ntyp = 3
/
ATOMIC_SPECIES
Se 78.96 Se.upf
Sn 118.71 Sn.upf
Sr 87.62 Sr.upf
CELL_PARAMETERS angstrom
-3.3777 6.3110 2.1947
2.4186 1.8754 6.8342
5.9920 4.4182 0.7695
ATOMIC_POSITIONS crystal
Se 0.2513 0.2552 0.0000
Sn 0.0000 0.6672 0.6655
Se 0.7487 0.7448 0.0000
Se 0.2524 0.9161 0.6611
Sn 0.0000 0.3328 0.3345
Se 0.7476 0.4228 0.6611
Se 0.7476 0.0839 0.3389
Sn 0.5000 0.1647 0.6707
Se 0.2524 0.5772 0.3389
Sr 0.0000 0.0000 0.0000
Sn 0.5000 0.8353 0.3293
Sn 0.5000 0.5000 0.0000
```

Computed properties:
As for the symmetry: C2/m (12). The electronic total energy comes out at -4.2407 eV per atom.

4.
# YTeHN2

A geometry-optimized YTeHN2 structure (PBE-GGA, Alexandria). Values from VASP.

Quantum ESPRESSO input file:
```
&SYSTEM
  ibrav = 0, nat = 5, ntyp = 4
/
ATOMIC_SPECIES
Te 127.60 Te.upf
Y 88.91 Y.upf
H 1.01 H.upf
N 14.01 N.upf
CELL_PARAMETERS angstrom
-3.4649 -2.8192 0.3536
0.9074 -0.5695 4.3509
-3.8003 4.8498 1.4273
ATOMIC_POSITIONS crystal
Te 0.0000 0.0000 0.5000
Y 0.0000 0.0000 0.0000
H 0.5000 0.5000 0.5000
N 0.0000 0.5000 0.0000
N 0.5000 0.0000 0.0000
```

Computed properties:
The distance to the lowest polymorph of the same formula is 480.3 meV per atom. As for the symmetry: P4/mmm (123). The electronic total energy comes out at -4.6433 eV per atom.

5.
# SrTl2Zn

A geometry-optimized SrTl2Zn structure (PBE-GGA, Alexandria). Values from VASP.

Quantum ESPRESSO input file:
```
&SYSTEM
  ibrav = 0, nat = 8, ntyp = 3
/
ATOMIC_SPECIES
Tl 204.38 Tl.upf
Sr 87.62 Sr.upf
Zn 65.41 Zn.upf
CELL_PARAMETERS angstrom
4.9933 0.0000 0.0000
0.0000 4.3649 -1.0993
0.0000 0.3518 10.6117
ATOMIC_POSITIONS crystal
Tl 0.7500 0.7450 0.4900
Sr 0.7500 0.1089 0.2177
Zn 0.7500 0.3302 0.6604
Tl 0.2500 0.2550 0.5100
Tl 0.7500 0.4617 0.9235
Tl 0.2500 0.5383 0.0765
Zn 0.2500 0.6698 0.3396
Sr 0.2500 0.8911 0.7823
```

Computed properties:
As for the symmetry: Cmcm (63). The electronic total energy comes out at -2.1305 eV per atom. For the energy of formation from the pure elements, the calculation gives -0.208 eV/atom.

6.
# TaTl2In

A geometry-optimized TaTl2In structure (PBE-GGA, Alexandria). Values from VASP.

Quantum ESPRESSO input file:
```
&SYSTEM
  ibrav = 0, nat = 4, ntyp = 3
/
ATOMIC_SPECIES
In 114.82 In.upf
Tl 204.38 Tl.upf
Ta 180.95 Ta.upf
CELL_PARAMETERS angstrom
1.2546 -4.3391 2.5218
-2.9556 -1.6696 3.9036
-2.8866 -4.2539 -0.5773
ATOMIC_POSITIONS crystal
In 0.0000 0.0000 0.0000
Tl 0.7500 0.7500 0.7500
Ta 0.5000 0.5000 0.5000
Tl 0.2500 0.2500 0.2500
```

Computed properties:
The distance to the lowest polymorph of the same formula is 491.0 meV per atom. As for the symmetry: Fm-3m (225). The electronic total energy comes out at -3.9742 eV per atom. For the energy of formation from the pure elements, the calculation gives 0.857 eV/atom.